# ZrAs2PtSe

A relaxed structure of ZrAs2PtSe (PBE, the Alexandria database).

The energy relative to the lowest polymorph listed for this composition is 0.2852 eV per atom. Its total energy is -4.878 eV per atom. The mass density is 6.36 g/cm³. The magnetic moment comes out at 0.0 μB/f.u.

```
data_ZrAs2PtSe
_cell_length_a 5.168
_cell_length_b 5.168
_cell_length_c 5.031
_cell_angle_alpha 90.00
_cell_angle_beta 90.00
_cell_angle_gamma 90.00
_space_group_name_H-M_alt 'P 1'
_space_group_IT_number 1
_space_group_name_Hall 'P 1'
loop_
_atom_site_label
_atom_site_fract_x
_atom_site_fract_y
_atom_site_fract_z
_atom_site_occupancy
As1 0.000 0.500 0.000 1
As2 0.500 0.000 0.000 1
Se1 0.000 0.000 0.500 1
Zr1 0.000 0.000 0.000 1
Pt1 0.500 0.500 0.500 1
```